1.
La2MgCd16 | Alexandria | GGA-PBE | relaxed; formation energy from the elements = -0.196 eV per atom; crystal system = trigonal
1.0
5.069 2.927 5.021
-5.069 2.927 5.021
0.000 -5.853 5.021
La Mg Cd
2 1 16
Direct
0.000 0.000 0.000
0.332 0.332 0.332
0.761 0.761 0.761
0.025 0.025 0.510
0.025 0.510 0.025
0.163 0.669 0.669
0.307 0.307 0.828
0.307 0.828 0.307
0.370 0.666 0.964
0.370 0.964 0.666
0.510 0.025 0.025
0.561 0.561 0.561
0.666 0.370 0.964
0.666 0.964 0.370
0.669 0.163 0.669
0.669 0.669 0.163
0.828 0.307 0.307
0.964 0.370 0.666
0.964 0.666 0.370


2.
ZnHgAs | Alexandria | GGA-PBE | relaxed; formation energy from the elements = 0.219 eV per atom; ΔE to the lowest computed polymorph = 185 meV/atom; crystal system = orthorhombic
1.0
0.000 2.420 6.606
1.946 0.000 6.606
1.946 2.420 0.000
Zn Hg As
1 1 1
Direct
0.000 0.000 0.000
0.662 0.662 0.338
0.366 0.366 0.634


3.
YMnBr3 | Alexandria | GGA-PBE | relaxed; formation energy (no corrections) = -1.93 eV per formula unit; ΔE to the lowest computed polymorph = 276 meV/atom; crystal system = cubic
1.0
5.183 0.000 0.000
0.000 5.183 0.000
0.000 0.000 5.183
Y Mn Br
1 1 3
Direct
0.000 0.000 0.000
0.500 0.500 0.500
0.000 0.500 0.500
0.500 0.000 0.500
0.500 0.500 0.000


Repeat the first record exactly.
La2MgCd16 | Alexandria | GGA-PBE | relaxed; formation energy from the elements = -0.196 eV per atom; crystal system = trigonal
1.0
5.069 2.927 5.021
-5.069 2.927 5.021
0.000 -5.853 5.021
La Mg Cd
2 1 16
Direct
0.000 0.000 0.000
0.332 0.332 0.332
0.761 0.761 0.761
0.025 0.025 0.510
0.025 0.510 0.025
0.163 0.669 0.669
0.307 0.307 0.828
0.307 0.828 0.307
0.370 0.666 0.964
0.370 0.964 0.666
0.510 0.025 0.025
0.561 0.561 0.561
0.666 0.370 0.964
0.666 0.964 0.370
0.669 0.163 0.669
0.669 0.669 0.163
0.828 0.307 0.307
0.964 0.370 0.666
0.964 0.666 0.370